[1]
A geometry-optimized Pu6CoRh3 structure. Source: the Alexandria database, functional PBE.

Values from the calculation:
Total magnetic moment = 0.93 μB/atom
Energy of formation from the pure elements = -0.15 eV per atom
Density of states at the Fermi level = 39.83 states/eV/f.u.

```
data_Pu6CoRh3
_cell_length_a 5.387
_cell_length_b 7.773
_cell_length_c 9.658
_cell_angle_alpha 90.00
_cell_angle_beta 91.28
_cell_angle_gamma 90.00
_symmetry_space_group_name_H-M 'P 1'
_symmetry_Int_Tables_number 1
loop_
_symmetry_equiv_pos_as_xyz
'x,y,z'
loop_
_atom_site_label
_atom_site_fract_x
_atom_site_fract_y
_atom_site_fract_z
Rh1 0.215 0.612 0.249
Rh2 0.785 0.388 0.751
Rh3 0.000 0.000 0.500
Rh4 0.500 0.500 0.000
Rh5 0.285 0.112 0.251
Rh6 0.715 0.888 0.749
Pu1 0.963 0.664 0.936
Pu2 0.149 0.093 0.761
Pu3 0.532 0.152 0.933
Pu4 0.649 0.407 0.261
Pu5 0.851 0.907 0.239
Pu6 0.468 0.848 0.067
Pu7 0.968 0.652 0.567
Pu8 0.537 0.164 0.564
Pu9 0.032 0.348 0.433
Pu10 0.351 0.593 0.739
Pu11 0.037 0.336 0.064
Pu12 0.463 0.836 0.436
Co1 0.500 0.500 0.500
Co2 0.000 0.000 0.000
```

[2]
A geometry-optimized Y2ZnHSe structure. Source: the Alexandria database, functional PBE.

Values from the calculation:
Total magnetic moment = 0.00 μB/atom
Density of states at the Fermi level = 5.45 states/eV/f.u.
Uncorrected energy = -4.80 eV per atom

```
data_Y2ZnHSe
_cell_length_a 5.053
_cell_length_b 3.673
_cell_length_c 5.053
_cell_angle_alpha 90.00
_cell_angle_beta 90.00
_cell_angle_gamma 90.00
_symmetry_space_group_name_H-M 'P 1'
_symmetry_Int_Tables_number 1
loop_
_symmetry_equiv_pos_as_xyz
'x,y,z'
loop_
_atom_site_label
_atom_site_fract_x
_atom_site_fract_y
_atom_site_fract_z
H1 0.000 0.000 0.000
Y1 0.500 0.000 0.000
Y2 0.000 0.000 0.500
Se1 0.500 0.500 0.500
Zn1 0.000 0.500 0.000
```

[3]
A geometry-optimized Be3NbFe structure. Source: the Alexandria database, functional PBE.

Values from the calculation:
Total magnetic moment = 0.00 μB/atom
Energy of formation from the pure elements = 0.32 eV per atom
Energy relative to the lowest polymorph listed for this composition = 0 meV/atom
Density of states at the Fermi level = 2.40 states/eV/f.u.

```
data_Be3NbFe
_cell_length_a 3.848
_cell_length_b 3.848
_cell_length_c 3.848
_cell_angle_alpha 90.00
_cell_angle_beta 90.00
_cell_angle_gamma 90.00
_symmetry_space_group_name_H-M 'P 1'
_symmetry_Int_Tables_number 1
loop_
_symmetry_equiv_pos_as_xyz
'x,y,z'
loop_
_atom_site_label
_atom_site_fract_x
_atom_site_fract_y
_atom_site_fract_z
Nb1 0.500 0.500 0.500
Be1 0.500 0.000 0.000
Be2 0.000 0.000 0.500
Be3 0.000 0.500 0.000
Fe1 0.000 0.000 0.000
```